Run w
Entry from Alexandria via LeMat-Bulk: crystalline Tb4Pr3Ho2 at its relaxed geometry (PBE).

Properties
crystal system = triclinic
space-group type = No. 2

a = 6.230 Å, b = 6.239 Å, c = 12.990 Å
α = 118.61°, β = 104.01°, γ = 119.91°
Sites, in units of the cell vectors:
Pr  0.446  0.890  0.334
Ho  0.221  0.443  0.666
Ho  0.779  0.557  0.334
Tb  0.336  0.668  0.000
Tb  0.664  0.332  0.000
Pr  0.554  0.110  0.666
Tb  0.110  0.220  0.333
Tb  0.890  0.780  0.667
Pr  0.000  0.000  0.000

Run x
Entry from Alexandria via LeMat-Bulk: crystalline Tb4Pr3Ho2 at its relaxed geometry (PBE).

Properties
crystal system = monoclinic
space-group type = No. 15

a = 6.097 Å, b = 11.307 Å, c = 11.307 Å
α = 62.73°, β = 63.95°, γ = 63.95°
Sites, in units of the cell vectors:
Tb  0.577  0.414  0.153
Pr  0.250  0.609  0.391
Ho  0.919  0.516  0.253
Ho  0.081  0.484  0.747
Tb  0.920  0.182  0.919
Tb  0.080  0.818  0.081
Pr  0.748  0.058  0.276
Pr  0.252  0.942  0.724
Tb  0.580  0.081  0.818
Tb  0.077  0.153  0.414
Tb  0.923  0.847  0.586
Ho  0.581  0.747  0.484
Pr  0.752  0.724  0.942
Tb  0.420  0.919  0.182
Ho  0.419  0.253  0.516
Pr  0.248  0.276  0.058
Tb  0.423  0.586  0.847
Pr  0.750  0.391  0.609

Relative energy of each structure, in meV/atom: run w 0; run x 80.

Run w
Entry from Alexandria via LeMat-Bulk: crystalline Tb6Pr3Ho2 at its relaxed geometry (PBE).

Properties
crystal system = trigonal
space-group type = No. 166

a = 3.598 Å, b = 3.598 Å, c = 32.251 Å
α = 86.80°, β = 86.80°, γ = 60.00°
Sites, in units of the cell vectors:
Tb  0.092  0.092  0.723
Tb  0.818  0.818  0.545
Tb  0.636  0.636  0.092
Tb  0.908  0.908  0.277
Pr  0.272  0.272  0.184
Ho  0.455  0.455  0.634
Pr  0.000  0.000  0.000
Tb  0.364  0.364  0.908
Pr  0.728  0.728  0.816
Ho  0.545  0.545  0.366
Tb  0.182  0.182  0.455

Run x
Entry from Alexandria via LeMat-Bulk: crystalline Tb6Pr3Ho2 at its relaxed geometry (PBE).

Properties
crystal system = tetragonal
space-group type = No. 139

a = 4.786 Å, b = 4.786 Å, c = 17.030 Å
α = 98.08°, β = 98.08°, γ = 90.00°
Sites, in units of the cell vectors:
Tb  0.120  0.620  0.239
Tb  0.308  0.308  0.616
Tb  0.620  0.120  0.239
Tb  0.692  0.692  0.384
Tb  0.380  0.880  0.761
Tb  0.880  0.380  0.761
Ho  0.546  0.546  0.092
Pr  0.796  0.796  0.592
Ho  0.454  0.454  0.908
Pr  0.204  0.204  0.408
Pr  0.000  0.000  0.000

Relative energy of each structure, in meV/atom: run w 0; run x 252.

Run w
Entry from Alexandria via LeMat-Bulk: crystalline Tb3Pr6Ho2 at its relaxed geometry (PBE).

Properties
crystal system = triclinic
space-group type = No. 2

a = 6.968 Å, b = 6.177 Å, c = 12.111 Å
α = 104.58°, β = 55.01°, γ = 117.64°
Sites, in units of the cell vectors:
Pr  0.726  0.563  0.547
Pr  0.274  0.437  0.453
Ho  0.445  0.318  0.102
Pr  0.073  0.490  0.818
Pr  0.374  0.899  0.274
Tb  0.000  0.000  0.000
Tb  0.812  0.024  0.367
Ho  0.555  0.682  0.898
Tb  0.188  0.976  0.633
Pr  0.626  0.101  0.726
Pr  0.927  0.510  0.182

Run x
Entry from Alexandria via LeMat-Bulk: crystalline Tb3Pr6Ho2 at its relaxed geometry (PBE).

Properties
crystal system = tetragonal
space-group type = No. 139

a = 4.781 Å, b = 4.781 Å, c = 17.486 Å
α = 97.86°, β = 97.86°, γ = 90.00°
Sites, in units of the cell vectors:
Pr  0.293  0.293  0.587
Tb  0.193  0.193  0.387
Tb  0.807  0.807  0.613
Ho  0.545  0.545  0.089
Pr  0.707  0.707  0.413
Pr  0.381  0.881  0.762
Ho  0.455  0.455  0.911
Pr  0.881  0.381  0.762
Tb  0.000  0.000  0.000
Pr  0.119  0.619  0.238
Pr  0.619  0.119  0.238

Relative energy of each structure, in meV/atom: run w 0; run x 214.

Run w
Entry from Alexandria via LeMat-Bulk: crystalline Tb5PrHo3 at its relaxed geometry (PBE).

Properties
crystal system = monoclinic
space-group type = No. 12

a = 9.345 Å, b = 9.345 Å, c = 12.858 Å
α = 51.29°, β = 51.29°, γ = 50.75°
Sites, in units of the cell vectors:
Ho  0.831  0.831  0.340
Tb  0.079  0.491  0.779
Tb  0.320  0.680  0.000
Pr  0.104  0.104  0.133
Ho  0.000  0.000  0.000
Tb  0.921  0.509  0.221
Ho  0.000  0.000  0.500
Tb  0.443  0.443  0.432
Tb  0.509  0.921  0.221
Pr  0.896  0.896  0.867
Ho  0.697  0.697  0.684
Ho  0.169  0.169  0.660
Tb  0.680  0.320  0.000
Ho  0.303  0.303  0.316
Tb  0.630  0.630  0.070
Tb  0.370  0.370  0.930
Tb  0.557  0.557  0.568
Tb  0.491  0.079  0.779

Run x
Entry from Alexandria via LeMat-Bulk: crystalline Tb5PrHo3 at its relaxed geometry (PBE).

Properties
crystal system = monoclinic
space-group type = No. 15

a = 6.707 Å, b = 12.181 Å, c = 11.399 Å
α = 136.33°, β = 90.00°, γ = 105.98°
Sites, in units of the cell vectors:
Pr  0.229  0.000  0.250
Tb  0.292  0.351  0.980
Tb  0.395  0.783  0.829
Ho  0.857  0.478  0.120
Tb  0.319  0.000  0.750
Ho  0.621  0.478  0.620
Tb  0.605  0.217  0.171
Ho  0.143  0.522  0.880
Tb  0.388  0.783  0.329
Tb  0.681  0.000  0.250
Tb  0.612  0.217  0.671
Tb  0.941  0.649  0.520
Tb  0.059  0.351  0.480
Ho  0.379  0.522  0.380
Ho  0.000  0.000  0.500
Ho  0.000  0.000  0.000
Tb  0.708  0.649  0.020
Pr  0.771  0.000  0.750

Relative energy of each structure, in meV/atom: run w 235; run x 0.

Run w
Entry from Alexandria via LeMat-Bulk: crystalline TbPr12Ho7 at its relaxed geometry (PBE).

Properties
crystal system = trigonal
space-group type = No. 148

a = 6.277 Å, b = 11.575 Å, c = 11.575 Å
α = 116.81°, β = 100.41°, γ = 100.41°
Sites, in units of the cell vectors:
Ho  0.632  0.755  0.756
Ho  0.876  0.244  0.999
Ho  0.123  0.999  0.755
Ho  0.877  0.001  0.245
Ho  0.368  0.245  0.244
Ho  0.500  0.000  0.000
Pr  0.581  0.999  0.647
Pr  0.087  0.176  0.589
Pr  0.502  0.589  0.412
Pr  0.066  0.647  0.648
Pr  0.913  0.824  0.411
Pr  0.089  0.588  0.176
Pr  0.911  0.412  0.824
Tb  0.000  0.000  0.000
Pr  0.582  0.648  0.001
Pr  0.934  0.353  0.352
Ho  0.124  0.756  0.001
Pr  0.498  0.411  0.588
Pr  0.418  0.352  0.999
Pr  0.419  0.001  0.353

Run x
Entry from Alexandria via LeMat-Bulk: crystalline TbPr12Ho7 at its relaxed geometry (PBE).

Properties
crystal system = trigonal
space-group type = No. 148

a = 9.482 Å, b = 9.482 Å, c = 9.482 Å
α = 107.90°, β = 107.90°, γ = 107.90°
Sites, in units of the cell vectors:
Pr  0.780  0.327  0.622
Ho  0.104  0.682  0.993
Ho  0.896  0.318  0.007
Pr  0.673  0.378  0.220
Ho  0.993  0.104  0.682
Pr  0.407  0.054  0.295
Pr  0.622  0.780  0.327
Pr  0.593  0.946  0.705
Pr  0.946  0.705  0.593
Ho  0.007  0.896  0.318
Pr  0.327  0.622  0.780
Ho  0.318  0.007  0.896
Ho  0.682  0.993  0.104
Pr  0.295  0.407  0.054
Pr  0.220  0.673  0.378
Tb  0.000  0.000  0.000
Ho  0.500  0.500  0.500
Pr  0.705  0.593  0.946
Pr  0.378  0.220  0.673
Pr  0.054  0.295  0.407

Relative energy of each structure, in meV/atom: run w 82; run x 0.

Run w
Entry from Alexandria via LeMat-Bulk: crystalline Tb3Pr5Ho2 at its relaxed geometry (PBE).

Properties
crystal system = monoclinic
space-group type = No. 15

a = 10.124 Å, b = 10.124 Å, c = 11.355 Å
α = 129.62°, β = 129.62°, γ = 64.50°
Sites, in units of the cell vectors:
Pr  0.623  0.876  0.242
Pr  0.518  0.268  0.536
Pr  0.118  0.366  0.242
Pr  0.023  0.773  0.545
Ho  0.475  0.723  0.757
Tb  0.030  0.778  0.250
Tb  0.720  0.472  0.250
Pr  0.377  0.124  0.758
Pr  0.977  0.227  0.455
Pr  0.882  0.634  0.758
Pr  0.728  0.478  0.957
Ho  0.218  0.966  0.243
Pr  0.272  0.522  0.043
Ho  0.525  0.277  0.243
Tb  0.229  0.979  0.958
Pr  0.482  0.732  0.464
Ho  0.782  0.034  0.757
Tb  0.970  0.222  0.750
Tb  0.771  0.021  0.042
Tb  0.280  0.528  0.750

Run x
Entry from Alexandria via LeMat-Bulk: crystalline Tb3Pr5Ho2 at its relaxed geometry (PBE).

Properties
crystal system = orthorhombic
space-group type = No. 72

a = 6.483 Å, b = 11.153 Å, c = 11.153 Å
α = 97.90°, β = 73.10°, γ = 73.10°
Sites, in units of the cell vectors:
Pr  0.750  0.500  0.500
Pr  0.401  0.257  0.940
Ho  0.841  0.416  0.901
Pr  0.998  0.752  0.752
Ho  0.159  0.584  0.099
Pr  0.099  0.060  0.743
Tb  0.601  0.557  0.241
Tb  0.750  0.000  0.000
Pr  0.901  0.940  0.257
Tb  0.250  0.000  0.000
Pr  0.002  0.248  0.248
Pr  0.599  0.743  0.060
Tb  0.101  0.241  0.557
Pr  0.250  0.500  0.500
Ho  0.659  0.099  0.584
Pr  0.502  0.248  0.248
Tb  0.399  0.443  0.759
Tb  0.899  0.759  0.443
Ho  0.341  0.901  0.416
Pr  0.498  0.752  0.752

Relative energy of each structure, in meV/atom: run w 0; run x 177.

Run w
Entry from Alexandria via LeMat-Bulk: crystalline Tb4Pr6Ho at its relaxed geometry (PBE).

Properties
crystal system = tetragonal
space-group type = No. 121

a = 6.861 Å, b = 6.861 Å, c = 9.574 Å
α = 111.00°, β = 111.00°, γ = 90.00°
Sites, in units of the cell vectors:
Tb  0.712  0.061  0.773
Pr  0.500  0.000  0.000
Tb  0.061  0.712  0.773
Pr  0.513  0.513  0.643
Ho  0.500  0.500  0.000
Tb  0.288  0.288  0.227
Pr  0.130  0.130  0.643
Tb  0.939  0.939  0.227
Pr  0.000  0.500  0.000
Pr  0.870  0.487  0.357
Pr  0.487  0.870  0.357

Run x
Entry from Alexandria via LeMat-Bulk: crystalline Tb4Pr6Ho at its relaxed geometry (PBE).

Properties
crystal system = tetragonal
space-group type = No. 121

a = 9.994 Å, b = 9.994 Å, c = 9.994 Å
α = 55.96°, β = 141.25°, γ = 141.25°
Sites, in units of the cell vectors:
Tb  0.000  0.011  0.640
Tb  0.371  0.360  0.360
Ho  0.000  0.000  0.000
Pr  0.000  0.815  0.457
Pr  0.000  0.457  0.815
Pr  0.500  0.500  0.000
Tb  0.629  0.989  0.989
Tb  0.000  0.640  0.011
Pr  0.642  0.185  0.185
Pr  0.500  0.000  0.500
Pr  0.358  0.543  0.543

Relative energy of each structure, in meV/atom: run w 10; run x 0.

Run w
Entry from Alexandria via LeMat-Bulk: crystalline TbPrHo6 at its relaxed geometry (PBE).

Properties
crystal system = monoclinic
space-group type = No. 12

a = 6.067 Å, b = 6.067 Å, c = 9.335 Å
α = 87.18°, β = 116.79°, γ = 112.47°
Sites, in units of the cell vectors:
Ho  0.641  0.544  0.702
Ho  0.701  0.374  0.074
Tb  0.000  0.000  0.000
Ho  0.299  0.626  0.926
Ho  0.158  0.061  0.702
Ho  0.842  0.939  0.298
Ho  0.359  0.456  0.298
Pr  0.500  0.000  0.500

Run x
Entry from Alexandria via LeMat-Bulk: crystalline TbPrHo6 at its relaxed geometry (PBE).

Properties
crystal system = trigonal
space-group type = No. 148

a = 8.573 Å, b = 9.619 Å, c = 6.442 Å
α = 41.73°, β = 48.27°, γ = 55.84°
Sites, in units of the cell vectors:
Ho  0.454  0.248  0.343
Ho  0.954  0.455  0.839
Pr  0.500  0.500  0.500
Ho  0.248  0.046  0.251
Ho  0.546  0.752  0.657
Ho  0.752  0.954  0.749
Tb  0.000  0.000  0.000
Ho  0.046  0.545  0.161

Relative energy of each structure, in meV/atom: run w 227; run x 0.

Run w
Entry from Alexandria via LeMat-Bulk: crystalline Tb6Pr2Ho at its relaxed geometry (PBE).

Properties
crystal system = monoclinic
space-group type = No. 15

a = 6.212 Å, b = 11.927 Å, c = 11.927 Å
α = 96.77°, β = 60.54°, γ = 60.54°
Sites, in units of the cell vectors:
Pr  0.480  0.163  0.343
Tb  0.069  0.078  0.593
Tb  0.336  0.674  0.496
Tb  0.164  0.504  0.326
Tb  0.678  0.991  0.838
Ho  0.250  0.240  0.760
Tb  0.931  0.922  0.407
Tb  0.431  0.407  0.922
Pr  0.520  0.837  0.657
Pr  0.020  0.657  0.837
Ho  0.750  0.760  0.240
Tb  0.178  0.838  0.991
Tb  0.822  0.162  0.009
Tb  0.322  0.009  0.162
Tb  0.569  0.593  0.078
Pr  0.980  0.343  0.163
Tb  0.664  0.326  0.504
Tb  0.836  0.496  0.674

Run x
Entry from Alexandria via LeMat-Bulk: crystalline Tb6Pr2Ho at its relaxed geometry (PBE).

Properties
crystal system = monoclinic
space-group type = No. 15

a = 6.634 Å, b = 9.662 Å, c = 9.662 Å
α = 96.40°, β = 80.46°, γ = 80.46°
Sites, in units of the cell vectors:
Ho  0.250  0.117  0.883
Pr  0.874  0.381  0.330
Pr  0.126  0.619  0.670
Tb  0.184  0.039  0.222
Tb  0.272  0.942  0.538
Tb  0.816  0.961  0.778
Ho  0.750  0.883  0.117
Pr  0.626  0.670  0.619
Tb  0.228  0.462  0.058
Tb  0.684  0.222  0.039
Tb  0.772  0.538  0.942
Tb  0.505  0.653  0.276
Tb  0.495  0.347  0.724
Pr  0.374  0.330  0.381
Tb  0.995  0.724  0.347
Tb  0.728  0.058  0.462
Tb  0.316  0.778  0.961
Tb  0.005  0.276  0.653

Relative energy of each structure, in meV/atom: run w 0; run x 6.